Computed, not measured: crystalline Cs2AlAu2 at its relaxed geometry at the GGA-PBE level of DFT.

a b c (Å): 7.3442 7.3442 5.9413
angles (deg): 90.00 90.00 90.00
Last column: nearest neighbours and their distance in Å.
Fractional positions:
Au 0.3493 0.1507 0.0000  2 Al 2.79
Au 0.1507 0.6507 0.0000  2 Al 2.79
Au 0.6507 0.8493 0.0000  2 Al 2.79
Au 0.8493 0.3493 0.0000  2 Al 2.79
Cs 0.1731 0.3269 0.5000  6 Au 3.49-3.81, 5 Cs 3.60-3.84
Cs 0.3269 0.8269 0.5000  6 Au 3.49-3.81, 5 Cs 3.60-3.84
Cs 0.6731 0.1731 0.5000  6 Au 3.49-3.81, 5 Cs 3.60-3.84
Cs 0.8269 0.6731 0.5000  6 Au 3.49-3.81, 5 Cs 3.60-3.84
Al 0.0000 0.0000 0.0000  4 Au 2.79
Al 0.5000 0.5000 0.0000  4 Au 2.79

Output
Energy above the most stable polymorph in this dataset: 1.02 eV/f.u.
Total moment: 0.0 μB/f.u.
Energy of formation from the pure elements: -0.06 eV per atom